First-principles (PBE) data for a relaxed structure of MgZnTeO, as listed in the Open Quantum Materials Database.

Cell: 4.456 4.456 9.129 Å, 90.00 90.00 90.00°
Element x y z (fractional)
Mg 0.250 0.250 0.217
Mg 0.750 0.750 0.783
Zn 0.250 0.250 0.616
Zn 0.750 0.750 0.384
Te 0.250 0.750 0.000
Te 0.750 0.250 0.000
O 0.250 0.250 0.415
O 0.750 0.750 0.585

Properties
For the relative energy among the computed polymorphs, the calculation gives 333 kJ/mol of formula units. The calculation puts the uncorrected energy at -3.154 eV per atom. As for the space group: No. 129.